# 1
This record from Alexandria via LeMat-Bulk describes a relaxed structure of LaPS4Cl. The functional is GGA-PBE.

```
LaPS4Cl
1.0
-3.409 7.053 -2.464
-7.850 0.800 2.275
0.311 4.122 5.731
S La P Cl
8 2 2 2
Direct
0.341 0.341 0.555
0.902 0.554 0.830
0.497 0.497 0.150
0.503 0.503 0.850
0.554 0.902 0.830
0.098 0.446 0.170
0.446 0.098 0.170
0.659 0.659 0.445
0.170 0.170 0.928
0.830 0.830 0.072
0.661 0.661 0.725
0.339 0.339 0.275
0.010 0.010 0.754
0.990 0.990 0.246
```

Volume in Å³ per atom: 29.9
Crystal system: monoclinic
DOS at the Fermi energy in states/eV/f.u.: 0.0
Formation energy without anion corrections in eV/atom: -1.030
Total energy in eV/atom: -5.13

---

# 2
This record from Alexandria via LeMat-Bulk describes a relaxed structure of La4P2SCl. The functional is GGA-PBE.

```
La4P2SCl
1.0
-0.489 -3.960 1.352
-0.474 -2.314 -6.951
6.702 -1.663 -2.448
La P S Cl
4 2 1 1
Direct
0.500 0.237 0.745
0.000 0.770 0.734
0.500 0.763 0.255
0.000 0.230 0.266
0.500 0.000 0.500
0.000 0.000 0.000
0.000 0.500 0.500
0.500 0.500 0.000
```

Volume in Å³ per atom: 26.7
Crystal system: monoclinic
DOS at the Fermi energy in states/eV/f.u.: 4.0
Formation energy without anion corrections in eV/atom: -1.827
Total energy in eV/atom: -6.39

---

# 3
This record from Alexandria via LeMat-Bulk describes a relaxed structure of La3SbPCl. The functional is GGA-PBE.

```
La3SbPCl
1.0
-3.035 -1.219 -2.997
4.974 -6.819 -2.263
-5.664 -3.518 7.167
P La Sb Cl
2 6 2 2
Direct
0.250 0.663 0.158
0.750 0.337 0.842
0.250 0.110 0.868
0.750 0.431 0.150
0.750 0.890 0.132
0.250 0.569 0.850
0.750 0.275 0.517
0.250 0.725 0.483
0.750 0.812 0.771
0.250 0.188 0.229
0.250 0.098 0.581
0.750 0.902 0.419
```

Volume in Å³ per atom: 30.7
Crystal system: monoclinic
DOS at the Fermi energy in states/eV/f.u.: 3.6
Formation energy without anion corrections in eV/atom: -1.402
Total energy in eV/atom: -5.76

---

# 4
This record from Alexandria via LeMat-Bulk describes a relaxed structure of LaSbP2Cl. The functional is GGA-PBE.

```
LaSbP2Cl
1.0
-4.739 2.995 0.210
-2.470 -4.112 2.910
1.597 2.214 4.484
P Sb Cl La
2 1 1 1
Direct
0.500 0.000 0.000
0.000 0.500 0.000
0.500 0.500 0.500
0.000 0.000 0.500
0.000 0.000 0.000
```

Distance to the lowest polymorph of the same formula in meV/atom: 442.6
Volume in Å³ per atom: 33.0
Crystal system: tetragonal
DOS at the Fermi energy in states/eV/f.u.: 4.7
Formation energy without anion corrections in eV/atom: 0.173
Total energy in eV/atom: -4.17

---

# 5
This record from Alexandria via LeMat-Bulk describes a relaxed structure of LaSbP2Cl. The functional is GGA-PBE.

```
LaSbP2Cl
1.0
5.114 0.000 0.000
0.000 5.114 0.000
0.000 0.000 5.059
P Sb Cl La
2 1 1 1
Direct
0.000 0.500 0.000
0.500 0.000 0.000
0.000 0.000 0.000
0.000 0.000 0.500
0.500 0.500 0.500
```

Distance to the lowest polymorph of the same formula in meV/atom: 0.0
Volume in Å³ per atom: 26.5
Crystal system: tetragonal
DOS at the Fermi energy in states/eV/f.u.: 1.3
Formation energy without anion corrections in eV/atom: -0.270
Total energy in eV/atom: -4.61

---

# 6
This record from Alexandria via LeMat-Bulk describes a relaxed structure of LaSbPCl2. The functional is GGA-PBE.

```
LaSbPCl2
1.0
5.207 0.000 0.000
0.000 5.207 0.000
0.000 0.000 5.352
La Cl Sb P
1 2 1 1
Direct
0.500 0.500 0.500
0.500 0.000 0.000
0.000 0.500 0.000
0.000 0.000 0.000
0.000 0.000 0.500
```

Distance to the lowest polymorph of the same formula in meV/atom: 240.6
Volume in Å³ per atom: 29.0
Crystal system: tetragonal
DOS at the Fermi energy in states/eV/f.u.: 6.2
Formation energy without anion corrections in eV/atom: -0.392
Total energy in eV/atom: -4.02

---

# 7
This record from Alexandria via LeMat-Bulk describes a relaxed structure of La4Sb2PCl. The functional is GGA-PBE.

```
La4Sb2PCl
1.0
-2.422 2.950 2.305
-3.825 -5.709 3.288
3.596 -2.120 6.493
Sb P La Cl
2 1 4 1
Direct
0.000 0.000 0.000
0.500 0.000 0.500
0.000 0.500 0.500
0.000 0.262 0.260
0.500 0.730 0.267
0.000 0.738 0.740
0.500 0.270 0.733
0.500 0.500 0.000
```

Volume in Å³ per atom: 30.9
Crystal system: monoclinic
DOS at the Fermi energy in states/eV/f.u.: 3.6
Formation energy without anion corrections in eV/atom: -1.462
Total energy in eV/atom: -5.86

---

# 8
This record from Alexandria via LeMat-Bulk describes a relaxed structure of LaSbPCl2. The functional is GGA-PBE.

```
LaSbPCl2
1.0
5.376 0.000 0.000
0.000 5.376 0.000
0.000 0.000 6.108
Sb Cl P La
1 2 1 1
Direct
0.500 0.500 0.500
0.500 0.000 0.000
0.000 0.500 0.000
0.000 0.000 0.500
0.000 0.000 0.000
```

Distance to the lowest polymorph of the same formula in meV/atom: 0.0
Volume in Å³ per atom: 35.3
Crystal system: tetragonal
DOS at the Fermi energy in states/eV/f.u.: 1.2
Formation energy without anion corrections in eV/atom: -0.633
Total energy in eV/atom: -4.26

---

# 9
This record from Alexandria via LeMat-Bulk describes a relaxed structure of LaScP2Cl. The functional is GGA-PBE.

```
LaScP2Cl
1.0
-2.190 -1.815 -4.268
-2.718 -3.322 2.807
-3.651 3.363 0.444
Sc Cl La P
1 1 1 2
Direct
0.500 0.500 0.500
0.000 0.000 0.000
0.000 0.000 0.500
0.500 0.000 0.000
0.000 0.500 0.000
```

Distance to the lowest polymorph of the same formula in meV/atom: 1380.5
Volume in Å³ per atom: 26.2
Crystal system: tetragonal
DOS at the Fermi energy in states/eV/f.u.: 4.7
Formation energy without anion corrections in eV/atom: 0.289
Total energy in eV/atom: -4.50

---

# 10
This record from Alexandria via LeMat-Bulk describes a relaxed structure of LaScPCl2. The functional is GGA-PBE.

```
LaScPCl2
1.0
5.342 0.000 0.000
0.000 5.342 0.000
0.000 0.000 5.905
Cl La Sc P
2 1 1 1
Direct
0.000 0.500 0.000
0.500 0.000 0.000
0.000 0.000 0.000
0.500 0.500 0.500
0.000 0.000 0.500
```

Distance to the lowest polymorph of the same formula in meV/atom: 604.9
Volume in Å³ per atom: 33.7
Crystal system: tetragonal
DOS at the Fermi energy in states/eV/f.u.: 3.6
Formation energy without anion corrections in eV/atom: -0.785
Total energy in eV/atom: -4.86

---

# 11
This record from Alexandria via LeMat-Bulk describes a relaxed structure of LaScP2Cl. The functional is GGA-PBE.

```
LaScP2Cl
1.0
4.979 0.000 0.000
0.000 4.979 0.000
0.000 0.000 4.845
Cl P La Sc
1 2 1 1
Direct
0.000 0.000 0.500
0.000 0.500 0.000
0.500 0.000 0.000
0.500 0.500 0.500
0.000 0.000 0.000
```

Distance to the lowest polymorph of the same formula in meV/atom: 0.0
Volume in Å³ per atom: 24.0
Crystal system: tetragonal
DOS at the Fermi energy in states/eV/f.u.: 1.8
Formation energy without anion corrections in eV/atom: -1.092
Total energy in eV/atom: -5.88

---

# 12
This record from Alexandria via LeMat-Bulk describes a relaxed structure of LaScPCl2. The functional is GGA-PBE.

```
LaScPCl2
1.0
4.791 0.000 0.000
0.000 4.791 0.000
0.000 0.000 5.263
Cl Sc La P
2 1 1 1
Direct
0.500 0.000 0.000
0.000 0.500 0.000
0.000 0.000 0.000
0.500 0.500 0.500
0.000 0.000 0.500
```

Distance to the lowest polymorph of the same formula in meV/atom: 0.0
Volume in Å³ per atom: 24.2
Crystal system: tetragonal
DOS at the Fermi energy in states/eV/f.u.: 5.4
Formation energy without anion corrections in eV/atom: -1.390
Total energy in eV/atom: -5.46